## P
Computed, not measured: an optimized crystal structure of Th3Tl3Cd2 at the PBE level of DFT.

a = 6.413 Å, b = 6.413 Å, c = 16.001 Å
α = 90.00°, β = 90.00°, γ = 136.69°
Sites, in units of the cell vectors:
1 Th 0.069 0.931 0.615
2 Th 0.069 0.931 0.885
3 Th 0.350 0.650 0.750
4 Th 0.650 0.350 0.250
5 Th 0.931 0.069 0.115
6 Th 0.931 0.069 0.385
7 Tl 0.376 0.624 0.250
8 Tl 0.381 0.619 0.538
9 Tl 0.381 0.619 0.962
10 Tl 0.619 0.381 0.038
11 Tl 0.619 0.381 0.462
12 Tl 0.624 0.376 0.750
13 Cd 0.220 0.780 0.108
14 Cd 0.220 0.780 0.392
15 Cd 0.780 0.220 0.608
16 Cd 0.780 0.220 0.892

Values from the calculation:
Space group: No. 63
Magnetic moment in μB per cell: 0.00
Crystal system: orthorhombic
Fermi-level density of states in states/eV per cell: 15.19

=====

## Q
Computed, not measured: an optimized crystal structure of Th3Tl3Cd2 at the PBE level of DFT.

a = 4.775 Å, b = 4.820 Å, c = 9.784 Å
α = 90.00°, β = 90.00°, γ = 90.00°
Sites, in units of the cell vectors:
1 Th 0.000 0.000 0.000
2 Th 0.000 0.500 0.262
3 Th 0.000 0.500 0.738
4 Tl 0.000 0.000 0.500
5 Tl 0.500 0.500 0.000
6 Tl 0.500 0.500 0.500
7 Cd 0.500 0.000 0.247
8 Cd 0.500 0.000 0.753

Values from the calculation:
Space group: No. 47
Magnetic moment in μB per cell: 0.00
Crystal system: orthorhombic
Fermi-level density of states in states/eV per cell: 6.74

=====

How do the structures above rank in stability at the extremes? Q comes first and P comes last.